Entry from Alexandria: a geometry-optimized LiCrPO4 structure (PBE+U).

Energy = -7.132 eV per atom
Density of states at the Fermi level = 0.00 states/eV/cell
Total moment = 0.571 μB per atom
Offset from the most stable computed form = 0.0 meV per atom
Calculated volume = 311.03 Å³ per cell

Unit cell a=4.781 b=6.349 c=10.247 alpha=90.00 beta=90.00 gamma=90.00
Positions (direct):
O: 0.763 0.250 0.602
O: 0.780 0.947 0.340
O: 0.280 0.447 0.160
O: 0.737 0.250 0.102
O: 0.720 0.947 0.840
O: 0.694 0.750 0.050
O: 0.720 0.553 0.840
O: 0.220 0.447 0.660
O: 0.194 0.250 0.450
O: 0.237 0.750 0.398
O: 0.806 0.750 0.550
O: 0.780 0.553 0.340
O: 0.220 0.053 0.660
O: 0.306 0.250 0.950
O: 0.280 0.053 0.160
O: 0.263 0.750 0.898
Cr: 0.445 0.750 0.215
Cr: 0.555 0.250 0.785
Cr: 0.055 0.750 0.715
Cr: 0.945 0.250 0.285
P: 0.087 0.250 0.594
P: 0.913 0.750 0.406
P: 0.413 0.250 0.094
P: 0.587 0.750 0.906
Li: 0.500 0.500 0.500
Li: 0.000 0.500 0.000
Li: 0.500 0.000 0.500
Li: 0.000 0.000 0.000